[1]
Compound: Ac2SmAl9
Source: the Alexandria database
Functional: PBE
Structure: relaxed

Cell lengths 5.7913, 5.7913, 27.2554 Å; angles 90.00, 90.00, 120.00 degrees
Space group R-3m (No. 166, hexagonal axes)
Unique sites:
1 Ac 0.0000 0.0000 0.1409 x6
2 Sm 0.0000 0.0000 0.0000 x3
3 Al 0.0000 0.0000 0.3347 x6
4 Al 0.0000 0.0000 0.5000 x3
5 Al 0.0056 0.5028 0.9210 x18

Computed properties:
Total DFT energy (no corrections) = -4.176 eV per atom
Energy relative to the elements = -337 kJ/mol of formula units

[2]
Compound: Al3Cl5
Source: the Alexandria database
Functional: PBE
Structure: relaxed

Cell lengths 9.459, 11.216, 3.352 Å; angles 90.00, 90.00, 90.00 degrees
Space group Cmmm (No. 65)
Unique sites:
1 Al 0.000 0.000 0.000 x2
2 Al 0.000 0.296 0.500 x4
3 Cl 0.000 0.500 0.000 x2
4 Cl 0.164 0.000 0.500 x4
5 Cl 0.250 0.250 0.000 x4

Computed properties:
Formation energy (no corrections) = -561 meV per atom
Total DFT energy (no corrections) = -3.118 eV per atom
Offset from the most stable computed form = 0.389 eV per atom